# UAlV | Alexandria via LeMat-Bulk | GGA-PBE | optimized geometry
data_UAlV
_symmetry_space_group_name_H-M 'P -1'
_symmetry_Int_Tables_number 2
_symmetry_space_group_name_Hall '-P 1'
_cell_length_a 2.856
_cell_length_b 4.794
_cell_length_c 7.951
_cell_angle_alpha 75.63
_cell_angle_beta 79.73
_cell_angle_gamma 72.73
loop_
_atom_site_label
_atom_site_type_symbol
_atom_site_fract_x
_atom_site_fract_y
_atom_site_fract_z
U1 U 0.159 0.268 0.413
Al1 Al 0.159 0.748 0.934
V1 V 0.497 0.233 0.771
# calculated total energy = -8.07 eV/atom
# offset from the most stable computed form = 0.000 eV/atom